Material: CaSm2V
Method: DFT, GGA-PBE
State: relaxed

The structure in CIF format:
```
data_CaSm2V
_chemical_formula_sum 'Ca3 Sm6 V3'
_cell_length_a 3.4405
_cell_length_b 3.4405
_cell_length_c 35.9813
_cell_angle_alpha 90.00
_cell_angle_beta 90.00
_cell_angle_gamma 120.00
_space_group_name_H-M_alt 'R -3 m'
_space_group_IT_number 166
_space_group_name_Hall '-R 3 2"'
loop_
_atom_site_label
_atom_site_type_symbol
_atom_site_fract_x
_atom_site_fract_y
_atom_site_fract_z
Ca1 Ca 0.0000 0.0000 0.0000
Sm1 Sm 0.0000 0.0000 0.4227
V1 V 0.0000 0.0000 0.5000
```

Computed properties:
* E: -4.44 eV per atom
* theoretical density: 5.29 g cm⁻³